Entry from Alexandria via LeMat-Bulk: a relaxed structure of Y2ZnInC (PBE-GGA).

Cell lengths 5.0223, 5.0223, 4.0934 Å; angles 90.00, 90.00, 90.00 degrees
Sites, in units of the cell vectors:
Y1 0.5000 0.0000 0.0000
Zn1 0.0000 0.0000 0.5000
In1 0.5000 0.5000 0.5000
Y2 0.0000 0.5000 0.0000
C1 0.0000 0.0000 0.0000

Raw total energy (eV per atom): -5.50
Formation energy from the elements (eV per atom): -0.27
Density of states at the Fermi level (states/eV/cell): 3.977